# BaSrIr2

An optimized crystal structure of BaSrIr2 (GGA-PBE, Alexandria).

Cell lengths 7.640, 7.640, 7.640 Å; angles 145.79, 144.95, 49.79 degrees
Atoms (fractional coordinates):
1 Ba 0.000 0.000 0.000
2 Sr 0.760 0.260 0.500
3 Ir 0.341 0.841 0.500
4 Ir 0.400 0.400 0.000

Values from the calculation:
- energy relative to the lowest polymorph listed for this composition (meV/atom) = 140.2
- calculated formation energy (meV per atom) = -75.8